DFT (PBE-GGA) results for a geometry-optimized NpAlZnGa2 structure. Values from VASP.

## Properties
The space-group type is I-4m2. The value obtained for the energy is -24.66 eV per cell.

```
&SYSTEM
  ibrav = 0, nat = 5, ntyp = 4
/
ATOMIC_SPECIES
Np 237.00 Np.upf
Al 26.98 Al.upf
Zn 65.41 Zn.upf
Ga 69.72 Ga.upf
ATOMIC_POSITIONS angstrom
Np 0.0000 0.0000 0.0000
Al 0.0000 2.0669 2.7425
Zn 2.0669 0.0000 2.7425
Ga 0.0000 0.0000 4.2659
Ga 0.0000 0.0000 6.7041
CELL_PARAMETERS angstrom
-2.0669 2.0669 5.4850
2.0669 -2.0669 5.4850
2.0669 2.0669 -5.4850
```